# 1
{"formula": "VI2N", "functional": "PBE-GGA", "state": "relaxed", "cell": [[4.3619, -2.0762, -1.4161], [2.0361, -3.6969, 2.7440], [0.0853, -4.7060, -1.7858]], "species": ["V", "I", "N", "I"], "frac_coords": [[0.5000, 0.5000, 0.5000], [0.2500, 0.2500, 0.2500], [0.0000, 0.0000, 0.0000], [0.7500, 0.7500, 0.7500]], "e_form_raw_ev_per_atom": 1.341, "total_energy_ev_per_atom": -3.7949, "de_polymorph_mev_per_atom": 192.3, "vol_a3_per_fu": 90.21, "space_group": "No. 225"}



# 2
{"formula": "VIN2", "functional": "PBE-GGA", "state": "relaxed", "cell": [[-2.5604, 6.2272, 0.1080], [-1.1143, 5.9878, 2.8722], [0.5251, 6.7064, 0.3061]], "species": ["I", "N", "V", "N"], "frac_coords": [[0.0000, 0.0000, 0.0000], [0.1152, 0.1152, 0.1152], [0.5000, 0.5000, 0.5000], [0.8848, 0.8848, 0.8848]], "e_form_raw_ev_per_atom": 0.300, "total_energy_ev_per_atom": -6.5296, "de_polymorph_mev_per_atom": 63.9, "vol_a3_per_fu": 54.99, "space_group": "No. 166"}



# 3
{"formula": "VI2N2", "functional": "PBE-GGA", "state": "relaxed", "cell": [[7.3637, 0.0000, 0.0000], [0.0000, 7.3637, 0.0000], [0.0000, 0.0000, 3.8650]], "species": ["N", "V", "N", "V", "I", "I", "N", "I", "I", "N"], "frac_coords": [[0.2638, 0.2362, 0.5000], [0.0000, 0.0000, 0.0000], [0.7638, 0.2638, 0.5000], [0.5000, 0.5000, 0.0000], [0.3275, 0.8275, 0.0000], [0.8275, 0.6725, 0.0000], [0.2362, 0.7362, 0.5000], [0.1725, 0.3275, 0.0000], [0.6725, 0.1725, 0.0000], [0.7362, 0.7638, 0.5000]], "e_form_raw_ev_per_atom": 1.624, "total_energy_ev_per_atom": -4.1504, "de_polymorph_mev_per_atom": 662.0, "vol_a3_per_fu": 104.79, "space_group": "No. 127"}



# 4
{"formula": "VIN2", "functional": "PBE-GGA", "state": "relaxed", "cell": [[0.0000, 2.8421, 2.8421], [2.8421, 0.0000, 2.8421], [2.8421, 2.8421, 0.0000]], "species": ["N", "I", "N", "V"], "frac_coords": [[0.2500, 0.2500, 0.2500], [0.5000, 0.5000, 0.5000], [0.7500, 0.7500, 0.7500], [0.0000, 0.0000, 0.0000]], "e_form_raw_ev_per_atom": 1.617, "total_energy_ev_per_atom": -5.2127, "de_polymorph_mev_per_atom": 1380.7, "vol_a3_per_fu": 45.91, "space_group": "No. 225"}



# 5
{"formula": "VWIN2", "functional": "PBE-GGA", "state": "relaxed", "cell": [[3.8919, 0.0000, 0.0000], [0.0000, 3.8919, 0.0000], [0.0000, 0.0000, 5.5282]], "species": ["N", "I", "N", "V", "W"], "frac_coords": [[0.5000, 0.0000, 0.0000], [0.0000, 0.0000, 0.5000], [0.0000, 0.5000, 0.0000], [0.0000, 0.0000, 0.0000], [0.5000, 0.5000, 0.5000]], "e_form_raw_ev_per_atom": 1.428, "total_energy_ev_per_atom": -6.6261, "de_polymorph_mev_per_atom": 654.4, "vol_a3_per_fu": 83.74, "space_group": "No. 123"}



# 6
{"formula": "VWIN2", "functional": "PBE-GGA", "state": "relaxed", "cell": [[-0.5667, 3.8648, 0.6812], [-3.9171, -0.5989, 0.1390], [0.3456, -0.9468, 5.6591]], "species": ["N", "V", "I", "W", "N"], "frac_coords": [[0.5000, 0.0000, 0.0000], [0.5000, 0.5000, 0.5000], [0.0000, 0.0000, 0.5000], [0.0000, 0.0000, 0.0000], [0.0000, 0.5000, 0.0000]], "e_form_raw_ev_per_atom": 0.774, "total_energy_ev_per_atom": -7.2805, "de_polymorph_mev_per_atom": 0.0, "vol_a3_per_fu": 90.37, "space_group": "No. 123"}



# 7
{"formula": "ZrVI2N", "functional": "PBE-GGA", "state": "relaxed", "cell": [[5.6064, 0.0000, 0.0000], [0.0000, 5.6064, 0.0000], [0.0000, 0.0000, 3.6591]], "species": ["V", "Zr", "I", "N", "I"], "frac_coords": [[0.0000, 0.0000, 0.0000], [0.5000, 0.5000, 0.5000], [0.5000, 0.0000, 0.0000], [0.0000, 0.0000, 0.5000], [0.0000, 0.5000, 0.0000]], "e_form_raw_ev_per_atom": 0.214, "total_energy_ev_per_atom": -5.6047, "de_polymorph_mev_per_atom": 0.0, "vol_a3_per_fu": 115.01, "space_group": "No. 123"}



# 8
{"formula": "Zr2VIN", "functional": "PBE-GGA", "state": "relaxed", "cell": [[-4.8943, 1.1023, 2.0620], [0.8617, -2.1845, 3.2130], [2.0218, 4.3979, 2.4478]], "species": ["I", "N", "Zr", "Zr", "V"], "frac_coords": [[0.0000, 0.0000, 0.0000], [0.0000, 0.5000, 0.0000], [0.0000, 0.0000, 0.5000], [0.5000, 0.0000, 0.0000], [0.5000, 0.5000, 0.5000]], "e_form_raw_ev_per_atom": 1.588, "total_energy_ev_per_atom": -5.6306, "vol_a3_per_fu": 117.09, "space_group": "No. 123"}